Material: MoI2OF
Method: DFT, PBE with a Hubbard U
State: optimized geometry

Calculated values
VASP energy ... -19.15 eV per cell

CIF file:
```
data_MoI2OF
_space_group_name_H-M_alt 'P 1'
_space_group_IT_number 1
_cell_length_a 5.650
_cell_length_b 5.650
_cell_length_c 3.827
_cell_angle_alpha 90.00
_cell_angle_beta 90.00
_cell_angle_gamma 90.00
loop_
_space_group_symop_operation_xyz
'x,y,z'
loop_
_atom_site_label
_atom_site_type_symbol
_atom_site_fract_x
_atom_site_fract_y
_atom_site_fract_z
I1 I 0.000 0.500 0.000
I2 I 0.500 0.000 0.000
Mo1 Mo 0.000 0.000 0.000
O1 O 0.000 0.000 0.500
F1 F 0.500 0.500 0.500
```